Model one:
A plane-wave DFT calculation with PBE was carried out for crystalline LaPrGaRu at its relaxed geometry.

**Magnetization**: 0.0 μB per formula unit

abc: 5.167 5.167 5.167
angles: 60.00 60.00 60.00
Positions (direct):
Ru1 0.750 0.750 0.750
La1 0.000 0.000 0.000
Pr1 0.500 0.500 0.500
Ga1 0.250 0.250 0.250

---

Model two:
A plane-wave DFT calculation with PBE was carried out for crystalline LaPrGaRu at its relaxed geometry.

**Magnetization**: 0.0 μB per formula unit

abc: 4.439 3.937 6.162
angles: 90.00 111.11 90.00
Positions (direct):
Ga1 0.565 0.500 0.130
Ru1 0.415 0.000 0.831
La1 0.869 0.500 0.738
Pr1 0.151 0.000 0.301

---

Pick model two: it beats the second-best structure by 131 meV/atom.

---

Model one:
A plane-wave DFT calculation with PBE was carried out for crystalline LaPrGaSi at its relaxed geometry.

**Magnetization**: 0.0 μB per formula unit

abc: 5.257 5.257 5.257
angles: 60.00 60.00 60.00
Positions (direct):
La1 0.000 0.000 0.000
Ga1 0.750 0.750 0.750
Si1 0.250 0.250 0.250
Pr1 0.500 0.500 0.500

---

Model two:
A plane-wave DFT calculation with PBE was carried out for crystalline LaPrGaSi at its relaxed geometry.

**Magnetization**: 0.2 μB per formula unit

abc: 4.508 4.095 6.138
angles: 90.00 111.54 90.00
Positions (direct):
Ga1 0.433 0.000 0.865
Si1 0.570 0.500 0.140
Pr1 0.140 0.000 0.281
La1 0.857 0.500 0.714

---

Pick model two: it beats the second-best structure by 202 meV/atom.

---

Model one:
A plane-wave DFT calculation with PBE was carried out for crystalline LaPrGaSn at its relaxed geometry.

**Magnetization**: 0.4 μB per formula unit

abc: 4.681 4.318 6.332
angles: 90.00 111.70 90.00
Positions (direct):
La1 0.862 0.500 0.723
Sn1 0.575 0.500 0.151
Ga1 0.420 0.000 0.841
Pr1 0.143 0.000 0.285

---

Model two:
A plane-wave DFT calculation with PBE was carried out for crystalline LaPrGaSn at its relaxed geometry.

**Magnetization**: 0.0 μB per formula unit

abc: 5.448 5.448 5.448
angles: 60.00 60.00 60.00
Positions (direct):
Sn1 0.250 0.250 0.250
La1 0.500 0.500 0.500
Ga1 0.750 0.750 0.750
Pr1 0.000 0.000 0.000

---

Pick model one: it beats the second-best structure by 122 meV/atom.